(1)
VASP calculation (PBE) on a relaxed Pm4AlRu crystal.

abc: 9.750 9.750 9.750
angles: 60.00 60.00 60.00
Sites, in units of the cell vectors:
1 Pm 0.189 0.189 0.811
2 Pm 0.189 0.811 0.189
3 Pm 0.189 0.811 0.811
4 Pm 0.401 0.401 0.401
5 Pm 0.401 0.401 0.798
6 Pm 0.401 0.798 0.401
7 Pm 0.555 0.555 0.945
8 Pm 0.555 0.945 0.555
9 Pm 0.555 0.945 0.945
10 Pm 0.798 0.401 0.401
11 Pm 0.811 0.189 0.189
12 Pm 0.811 0.189 0.811
13 Pm 0.811 0.811 0.189
14 Pm 0.945 0.555 0.555
15 Pm 0.945 0.555 0.945
16 Pm 0.945 0.945 0.555
17 Al 0.175 0.175 0.175
18 Al 0.175 0.175 0.475
19 Al 0.175 0.475 0.175
20 Al 0.475 0.175 0.175
21 Ru 0.163 0.612 0.612
22 Ru 0.612 0.163 0.612
23 Ru 0.612 0.612 0.163
24 Ru 0.612 0.612 0.612

## Properties
Polymorph energy (0 for the lowest one) ... 0.000 eV per atom
E ... -5.627 eV/atom
Space-group type ... F-43m


(2)
VASP calculation (PBE) on a relaxed Na3Tl2In4 crystal.

abc: 5.489 6.183 8.475
angles: 76.50 88.44 64.30
Sites, in units of the cell vectors:
1 Na 0.000 0.000 0.000
2 Na 0.417 0.107 0.675
3 Na 0.583 0.893 0.325
4 Tl 0.262 0.542 0.330
5 Tl 0.738 0.458 0.670
6 In 0.075 0.784 0.655
7 In 0.318 0.363 0.984
8 In 0.682 0.637 0.016
9 In 0.925 0.216 0.345

## Properties
Polymorph energy (0 for the lowest one) ... 0.025 eV per atom
E ... -2.262 eV/atom
Space-group type ... P-1


(3)
VASP calculation (PBE) on a relaxed RbBaPd crystal.

abc: 14.551 14.551 4.658
angles: 90.00 90.00 162.53
Sites, in units of the cell vectors:
1 Rb 0.181 0.819 0.750
2 Rb 0.819 0.181 0.250
3 Ba 0.441 0.559 0.750
4 Ba 0.559 0.441 0.250
5 Pd 0.027 0.973 0.750
6 Pd 0.973 0.027 0.250

## Properties
E ... -2.983 eV/atom
Space-group type ... Cmcm


(4)
VASP calculation (PBE) on a relaxed HfSnBi3 crystal.

abc: 5.649 5.649 5.649
angles: 90.00 90.00 90.00
Sites, in units of the cell vectors:
1 Hf 0.000 0.000 0.000
2 Sn 0.500 0.500 0.500
3 Bi 0.000 0.000 0.500
4 Bi 0.000 0.500 0.000
5 Bi 0.500 0.000 0.000

## Properties
Polymorph energy (0 for the lowest one) ... 0.000 eV per atom
E ... -4.736 eV/atom
Space-group type ... Pm-3m